First-principles (GGA-PBE) data for crystalline MnCu3 at its relaxed geometry, as listed in Alexandria.

Summary:
**M_tot**: 3.64 μB/f.u.
**Energy of formation**: 100 meV per atom
**V**: 49.88 Å³/cell

Structure (POSCAR):
```
MnCu3
1.0
-1.538 -1.994 -0.900
2.868 -1.771 -0.977
0.201 -2.313 4.780
Mn Cu
1 3
Cartesian
0.715 -2.461 0.256
0.199 -2.298 4.749
0.102 -1.171 2.420
0.816 -3.617 2.646
```